Entry 1:
Computed, not measured: a relaxed structure of HfV at the PBE-GGA level of DFT.

Cell: 9.6598 9.6598 3.4622 Å, 90.00 90.00 90.00°
With the nearest neighbours (Å) after each atom.
Positions (direct):
Hf 0.0000 0.3134 0.0000  6 V 2.78-3.03, 4 Hf 3.08
Hf 0.0000 0.6866 0.0000  6 V 2.78-3.03, 4 Hf 3.08
Hf 0.1866 0.5000 0.5000  6 V 2.78-3.03, 4 Hf 3.08
Hf 0.3134 0.0000 0.0000  6 V 2.78-3.03, 4 Hf 3.08
Hf 0.5000 0.1866 0.5000  6 V 2.78-3.03, 4 Hf 3.08
Hf 0.5000 0.8134 0.5000  6 V 2.78-3.03, 4 Hf 3.08
Hf 0.6866 0.0000 0.0000  6 V 2.78-3.03, 4 Hf 3.08
Hf 0.8134 0.5000 0.5000  6 V 2.78-3.03, 4 Hf 3.08
V 0.1860 0.1860 0.5000  2 V 2.46
V 0.1860 0.8140 0.5000  2 V 2.46
V 0.3140 0.3140 0.0000  2 V 2.46
V 0.3140 0.6860 0.0000  2 V 2.46
V 0.6860 0.3140 0.0000  2 V 2.46
V 0.6860 0.6860 0.0000  2 V 2.46
V 0.8140 0.1860 0.5000  2 V 2.46
V 0.8140 0.8140 0.5000  2 V 2.46

Values from the calculation:
- Distance to the lowest polymorph of the same formula: 0.612 eV per formula unit
- Density: 9.4 g/cm³

=====

Entry 2:
Computed, not measured: a relaxed structure of HfV at the PBE-GGA level of DFT.

Cell: 3.1334 12.5171 5.6611 Å, 90.00 90.00 90.00°
With the nearest neighbours (Å) after each atom.
Positions (direct):
Hf 0.0000 0.0000 0.0000  6 V 2.73-2.91
Hf 0.0000 0.3001 0.2648  3 V 2.81-2.83, 2 Hf 3.13
Hf 0.0000 0.6999 0.2648  3 V 2.81-2.83, 2 Hf 3.13
Hf 0.5000 0.1999 0.7648  3 V 2.81-2.83, 2 Hf 3.13
Hf 0.5000 0.5000 0.5000  6 V 2.73-2.91
Hf 0.5000 0.8001 0.7648  3 V 2.81-2.83, 2 Hf 3.13
V 0.0000 0.0000 0.5146  4 V 2.44
V 0.0000 0.3855 0.8021  2 V 2.44, 2 Hf 2.73
V 0.0000 0.6145 0.8021  2 V 2.44, 2 Hf 2.73
V 0.5000 0.1145 0.3021  2 V 2.44, 2 Hf 2.73
V 0.5000 0.5000 0.0146  4 V 2.44
V 0.5000 0.8855 0.3021  2 V 2.44, 2 Hf 2.73

Values from the calculation:
- Distance to the lowest polymorph of the same formula: 0.219 eV per formula unit
- Density: 10.3 g/cm³

=====

Entry 3:
Computed, not measured: a relaxed structure of HfV4 at the PBE-GGA level of DFT.

Cell: 4.6255 4.6255 4.6255 Å, 90.00 90.00 90.00°
With the nearest neighbours (Å) after each atom.
Positions (direct):
Hf 0.0000 0.0000 0.0000  6 V 2.31
V 0.0000 0.0000 0.5000  2 Hf 2.31
V 0.0000 0.5000 0.0000  2 Hf 2.31
V 0.5000 0.0000 0.0000  2 Hf 2.31
V 0.5000 0.5000 0.5000  12 V 3.27

Values from the calculation:
- E: -0.276 hartree per atom
- Density: 6.4 g/cm³

=====

Entry 4:
Computed, not measured: a relaxed structure of HfV at the PBE-GGA level of DFT.

Cell: 5.3924 5.3924 5.3924 Å, 90.00 90.00 90.00°
With the nearest neighbours (Å) after each atom.
Positions (direct):
Hf 0.0000 0.0000 0.0000  6 V 2.70
Hf 0.0000 0.5000 0.5000  6 V 2.70
Hf 0.5000 0.0000 0.5000  6 V 2.70
Hf 0.5000 0.5000 0.0000  6 V 2.70
V 0.0000 0.0000 0.5000  6 Hf 2.70
V 0.0000 0.5000 0.0000  6 Hf 2.70
V 0.5000 0.0000 0.0000  6 Hf 2.70
V 0.5000 0.5000 0.5000  6 Hf 2.70

Values from the calculation:
- Distance to the lowest polymorph of the same formula: 1.778 eV per formula unit
- Density: 9.7 g/cm³

=====

Entry 5:
Computed, not measured: a relaxed structure of HfV6 at the PBE-GGA level of DFT.

Cell: 8.2700 5.1412 9.9540 Å, 90.00 90.00 90.00°
With the nearest neighbours (Å) after each atom.
Positions (direct):
Hf 0.2502 0.2500 0.0742  14 V 2.91-3.24
Hf 0.2498 0.7500 0.5742  14 V 2.91-3.24
Hf 0.7502 0.2500 0.4258  14 V 2.91-3.24
Hf 0.7498 0.7500 0.9258  14 V 2.91-3.24
V 0.0486 0.2500 0.5884  1 V 2.27
V 0.0628 0.5100 0.8107  7 V 2.41-2.67
V 0.0628 0.9900 0.8107  7 V 2.41-2.67
V 0.1003 0.7500 0.0159  6 V 2.41-2.60
V 0.1368 0.2500 0.3719  1 V 2.27
V 0.1927 0.7500 0.2484  7 V 2.44-2.67
V 0.3073 0.2500 0.7484  7 V 2.44-2.67
V 0.3632 0.7500 0.8719  1 V 2.27
V 0.3997 0.2500 0.5159  6 V 2.41-2.60
V 0.4372 0.0100 0.3107  7 V 2.41-2.67
V 0.4372 0.4900 0.3107  7 V 2.41-2.67
V 0.4514 0.7500 0.0884  1 V 2.27
V 0.5486 0.2500 0.9116  1 V 2.27
V 0.5628 0.5100 0.6893  7 V 2.41-2.67
V 0.5628 0.9900 0.6893  7 V 2.41-2.67
V 0.6003 0.7500 0.4841  6 V 2.41-2.60
V 0.6368 0.2500 0.1281  1 V 2.27
V 0.6927 0.7500 0.2516  7 V 2.44-2.67
V 0.8073 0.2500 0.7516  7 V 2.44-2.67
V 0.8632 0.7500 0.6281  1 V 2.27
V 0.8997 0.2500 0.9841  6 V 2.41-2.60
V 0.9372 0.0100 0.1893  7 V 2.41-2.67
V 0.9372 0.4900 0.1893  7 V 2.41-2.67
V 0.9514 0.7500 0.4116  1 V 2.27

Values from the calculation:
- Distance to the lowest polymorph of the same formula: 0.000 eV per formula unit
- Density: 7.6 g/cm³

=====

Entry 6:
Computed, not measured: a relaxed structure of HfV at the PBE-GGA level of DFT.

Cell: 6.6915 6.2048 5.4309 Å, 69.85 60.52 49.63°
With the nearest neighbours (Å) after each atom.
Positions (direct):
Hf 0.0593 0.6907 0.0593  6 V 2.73-2.87
Hf 0.3093 0.9407 0.3093  6 V 2.73-2.87
Hf 0.6907 0.0593 0.6907  6 V 2.73-2.87
Hf 0.9407 0.3093 0.9407  6 V 2.73-2.87
V 0.2201 0.5299 0.5299  1 V 2.11
V 0.4701 0.7799 0.7799  1 V 2.11
V 0.5299 0.2201 0.2201  1 V 2.11
V 0.7799 0.4701 0.4701  1 V 2.11

Values from the calculation:
- Distance to the lowest polymorph of the same formula: 0.706 eV per formula unit
- Density: 10.2 g/cm³

=====

Entry 7:
Computed, not measured: a relaxed structure of HfV at the PBE-GGA level of DFT.

Cell: 4.6845 4.6845 5.3585 Å, 90.00 90.00 120.00°
With the nearest neighbours (Å) after each atom.
Positions (direct):
Hf 0.3333 0.6667 0.2500  5 V 2.68-2.70
Hf 0.6667 0.3333 0.7500  5 V 2.68-2.70
V 0.3333 0.6667 0.7500  5 Hf 2.68-2.70
V 0.6667 0.3333 0.2500  5 Hf 2.68-2.70

Values from the calculation:
- Distance to the lowest polymorph of the same formula: 2.967 eV per formula unit
- Density: 7.5 g/cm³

=====

Entry 8:
Computed, not measured: a relaxed structure of HfV at the PBE-GGA level of DFT.

Cell: 9.7302 9.7302 2.8523 Å, 90.00 90.00 120.00°
With the nearest neighbours (Å) after each atom.
Positions (direct):
Hf 0.0574 0.7501 0.2500  4 V 2.72-2.86, 2 Hf 2.85
Hf 0.2499 0.3072 0.2500  4 V 2.72-2.86, 2 Hf 2.85
Hf 0.3072 0.0574 0.7500  4 V 2.72-2.86, 2 Hf 2.85
Hf 0.6928 0.9426 0.2500  4 V 2.72-2.86, 2 Hf 2.85
Hf 0.7501 0.6928 0.7500  4 V 2.72-2.86, 2 Hf 2.85
Hf 0.9426 0.2499 0.7500  4 V 2.72-2.86, 2 Hf 2.85
V 0.1545 0.5326 0.2500  4 Hf 2.72-2.86, 4 V 2.72-2.85
V 0.3781 0.8455 0.2500  4 Hf 2.72-2.86, 4 V 2.72-2.85
V 0.4674 0.6219 0.2500  4 Hf 2.72-2.86, 4 V 2.72-2.85
V 0.5326 0.3781 0.7500  4 Hf 2.72-2.86, 4 V 2.72-2.85
V 0.6219 0.1545 0.7500  4 Hf 2.72-2.86, 4 V 2.72-2.85
V 0.8455 0.4674 0.7500  4 Hf 2.72-2.86, 4 V 2.72-2.85

Values from the calculation:
- Distance to the lowest polymorph of the same formula: 0.960 eV per formula unit
- Density: 9.8 g/cm³

=====

Entry 9:
Computed, not measured: a relaxed structure of HfV at the PBE-GGA level of DFT.

Cell: 4.6780 3.2171 5.2314 Å, 90.00 110.29 90.00°
With the nearest neighbours (Å) after each atom.
Positions (direct):
Hf 0.1120 0.2500 0.2634  6 V 2.79-3.08, 2 Hf 3.05
Hf 0.8880 0.7500 0.7366  6 V 2.79-3.08, 2 Hf 3.05
V 0.4162 0.2500 0.8263  2 V 2.35
V 0.5838 0.7500 0.1737  2 V 2.35

Values from the calculation:
- Distance to the lowest polymorph of the same formula: 0.149 eV per formula unit
- Density: 10.3 g/cm³

=====

Entry 10:
Computed, not measured: a relaxed structure of HfV6 at the PBE-GGA level of DFT.

Cell: 6.4475 6.4475 6.4475 Å, 90.00 90.00 90.00°
With the nearest neighbours (Å) after each atom.
Positions (direct):
Hf 0.0000 0.0000 0.0000  24 V 3.60
Hf 0.5000 0.5000 0.5000  24 V 3.60
V 0.0000 0.2500 0.5000  4 V 2.28
V 0.0000 0.5000 0.2500  4 V 2.28
V 0.0000 0.5000 0.7500  4 V 2.28
V 0.0000 0.7500 0.5000  4 V 2.28
V 0.2500 0.0000 0.5000  4 V 2.28
V 0.2500 0.5000 0.0000  4 V 2.28
V 0.5000 0.0000 0.2500  4 V 2.28
V 0.5000 0.0000 0.7500  4 V 2.28
V 0.5000 0.2500 0.0000  4 V 2.28
V 0.5000 0.7500 0.0000  4 V 2.28
V 0.7500 0.0000 0.5000  4 V 2.28
V 0.7500 0.5000 0.0000  4 V 2.28

Values from the calculation:
- Distance to the lowest polymorph of the same formula: 10.823 eV per formula unit
- Density: 6.0 g/cm³

=====

Entry 11:
Computed, not measured: a relaxed structure of Hf5V at the PBE-GGA level of DFT.

Cell: 4.4555 12.8885 4.4158 Å, 90.00 90.00 90.00°
With the nearest neighbours (Å) after each atom.
Positions (direct):
Hf 0.0000 0.0000 0.0000  8 Hf 3.06, 4 V 3.14
Hf 0.0000 0.1639 0.5000  10 Hf 3.06-3.14, 2 V 3.07
Hf 0.0000 0.3373 0.0000  2 V 3.05, 10 Hf 3.06-3.17
Hf 0.0000 0.6627 0.0000  2 V 3.05, 10 Hf 3.06-3.17
Hf 0.0000 0.8361 0.5000  10 Hf 3.06-3.14, 2 V 3.07
Hf 0.5000 0.1627 0.0000  2 V 3.05, 10 Hf 3.06-3.17
Hf 0.5000 0.3361 0.5000  10 Hf 3.06-3.14, 2 V 3.07
Hf 0.5000 0.5000 0.0000  8 Hf 3.06, 4 V 3.14
Hf 0.5000 0.6639 0.5000  10 Hf 3.06-3.14, 2 V 3.07
Hf 0.5000 0.8373 0.0000  2 V 3.05, 10 Hf 3.06-3.17
V 0.0000 0.5000 0.5000  12 Hf 3.05-3.14
V 0.5000 0.0000 0.5000  12 Hf 3.05-3.14

Values from the calculation:
- E: -0.354 hartree per atom
- Density: 12.4 g/cm³

=====

Entry 12:
Computed, not measured: a relaxed structure of HfV at the PBE-GGA level of DFT.

Cell: 6.1544 6.1544 6.1544 Å, 90.00 90.00 90.00°
With the nearest neighbours (Å) after each atom.
Positions (direct):
Hf 0.0000 0.0000 0.0000  4 V 2.66
Hf 0.0000 0.5000 0.5000  4 V 2.66
Hf 0.5000 0.0000 0.5000  4 V 2.66
Hf 0.5000 0.5000 0.0000  4 V 2.66
V 0.2500 0.2500 0.2500  4 Hf 2.66
V 0.2500 0.7500 0.7500  4 Hf 2.66
V 0.7500 0.2500 0.7500  4 Hf 2.66
V 0.7500 0.7500 0.2500  4 Hf 2.66

Values from the calculation:
- Distance to the lowest polymorph of the same formula: 4.480 eV per formula unit
- Density: 6.5 g/cm³